# TmV3O9

A geometry-optimized TmV3O9 structure (GGA+U, the Alexandria database).

Structure (CIF):
```
data_TmV3O9
_symmetry_space_group_name_H-M 'P 1'
_symmetry_Int_Tables_number 1
_symmetry_space_group_name_Hall 'P 1'
_cell_length_a 8.445
_cell_length_b 8.445
_cell_length_c 10.825
_cell_angle_alpha 122.25
_cell_angle_beta 122.25
_cell_angle_gamma 52.15
loop_
_atom_site_label
_atom_site_fract_x
_atom_site_fract_y
_atom_site_fract_z
_atom_site_occupancy
Tm1 0.249 0.751 0.500 1
Tm2 0.751 0.249 0.000 1
V1 0.206 0.295 0.750 1
V2 0.295 0.206 0.250 1
V3 0.536 0.739 0.327 1
V4 0.739 0.536 0.827 1
V5 0.761 0.965 0.173 1
V6 0.965 0.761 0.673 1
O1 0.001 0.375 0.813 1
O2 0.065 0.238 0.106 1
O3 0.098 0.832 0.656 1
O4 0.129 0.498 0.688 1
O5 0.238 0.065 0.606 1
O6 0.262 0.436 0.395 1
O7 0.375 0.001 0.313 1
O8 0.399 0.670 0.343 1
O9 0.436 0.262 0.895 1
O10 0.498 0.129 0.188 1
O11 0.562 0.626 0.674 1
O12 0.626 0.562 0.174 1
O13 0.670 0.399 0.843 1
O14 0.748 0.750 0.000 1
O15 0.750 0.748 0.500 1
O16 0.832 0.098 0.156 1
O17 0.875 0.936 0.826 1
O18 0.936 0.875 0.326 1
```

Space group = Cc
Spin magnetization = 0.000 μB per atom
Total DFT energy (no corrections) = -201.32 eV per cell